No. 1
The following is a DFT calculation (PBE-GGA) of a geometry-optimized BaIBr6 structure.

abc: 6.143 7.247 7.553
angles: 96.09 103.95 102.78
Space group P-1 (No. 2)
Unique sites:
Ba: 0.000 0.000 0.000 (multiplicity 1)
I: 0.000 0.500 0.500 (multiplicity 1)
Br: 0.167 0.660 0.234 (multiplicity 2)
Br: 0.219 0.223 0.453 (multiplicity 2)
Br: 0.397 0.819 0.858 (multiplicity 2)

Values from the calculation:
Magnetization ... 0.00 μB/cell
DOS at the Fermi energy ... 1.83 states/eV/cell
Formation energy from raw total energies ... -558 kJ/mol of formula units
Raw total energy ... -2.411 eV per atom


No. 2
The following is a DFT calculation (PBE-GGA) of a geometry-optimized PaSeCl4 structure.

abc: 6.942 6.942 10.400
angles: 90.00 90.00 90.00
Space group I-4 (No. 82)
Unique sites:
Pa: 0.000 0.000 0.000 (multiplicity 2)
Se: 0.000 0.500 0.750 (multiplicity 2)
Cl: 0.118 0.281 0.125 (multiplicity 8)

Values from the calculation:
Magnetization ... 2.00 μB/cell
DOS at the Fermi energy ... 13.47 states/eV/cell
Formation energy from raw total energies ... -590 kJ/mol of formula units
Raw total energy ... -4.414 eV per atom


No. 3
The following is a DFT calculation (PBE-GGA) of a geometry-optimized LaGa2Se structure.

abc: 8.402 8.402 5.978
angles: 90.00 90.00 90.00
Space group I-42d (No. 122)
Unique sites:
La: 0.000 0.000 0.000 (multiplicity 4)
Ga: 0.217 0.750 0.625 (multiplicity 8)
Se: 0.000 0.000 0.500 (multiplicity 4)

Values from the calculation:
Magnetization ... 0.00 μB/cell
DOS at the Fermi energy ... 13.97 states/eV/cell
Formation energy from raw total energies ... -205 kJ/mol of formula units
Raw total energy ... -4.148 eV per atom


Which value of DOS at the Fermi energy does entry 2 give? 13.47 states/eV/cell


Which value of formation energy from raw total energies does entry 2 give? -590 kJ/mol of formula units


Among the records above, which one has the lowest DOS at the Fermi energy? BaIBr6


Look up the magnetization of the first one. 0.00 μB/cell